{"formula": "Na4W5O15", "functional": "PBE+U", "state": "optimized geometry", "final_energy_ev_per_atom": -6.83, "lattice": [[8.394, -2.797, 0.000], [8.394, 2.797, 0.000], [-1.799, 0.000, 6.618]], "species": ["Na", "Na", "Na", "Na", "W", "W", "W", "W", "W", "O", "O", "O", "O", "O", "O", "O", "O", "O", "O", "O", "O", "O", "O", "O"], "frac_coords": [[0.094, 0.094, 0.405], [0.304, 0.304, 0.201], [0.696, 0.696, 0.799], [0.906, 0.906, 0.595], [0.099, 0.099, 0.898], [0.302, 0.302, 0.704], [0.500, 0.500, 0.500], [0.698, 0.698, 0.296], [0.901, 0.901, 0.102], [0.000, 0.000, 0.000], [0.000, 0.500, 0.500], [0.095, 0.594, 0.893], [0.192, 0.702, 0.305], [0.201, 0.201, 0.802], [0.298, 0.808, 0.695], [0.395, 0.395, 0.601], [0.406, 0.905, 0.107], [0.500, 0.000, 0.500], [0.594, 0.095, 0.893], [0.605, 0.605, 0.399], [0.702, 0.192, 0.305], [0.799, 0.799, 0.198], [0.808, 0.298, 0.695], [0.905, 0.406, 0.107]]}